InPRu2 | PBE | relaxed

CIF file:
```
data_InPRu2
_chemical_formula_sum 'In1 P1 Ru2'
_cell_length_a 5.142
_cell_length_b 5.142
_cell_length_c 4.450
_cell_angle_alpha 90.00
_cell_angle_beta 90.00
_cell_angle_gamma 146.40
_symmetry_space_group_name_H-M 'P 1'
_symmetry_Int_Tables_number 1
_symmetry_space_group_name_Hall 'P 1'
loop_
_atom_site_label
_atom_site_type_symbol
_atom_site_fract_x
_atom_site_fract_y
_atom_site_fract_z
Ru1 Ru 0.208 0.792 0.000
Ru2 Ru 0.585 0.415 0.500
In1 In 0.944 0.056 0.000
P1 P 0.268 0.732 0.500
```

crystal system	orthorhombic
calculated total energy	-6.673	eV per atom
DFT formation energy	0.002	eV per atom
magnetic moment	0.00	μB per formula unit
symmetry	No. 38